Record 1
Below is BiIO2 after structural relaxation, with properties calculated at the PBE-GGA level.

Cell lengths 4.5612, 4.5612, 4.5612 Å; angles 60.00, 60.00, 60.00 degrees
Closest atoms and distances in Å follow each position.
Atoms (fractional coordinates):
I (0.0000, 0.0000, 0.0000)  8 O 2.79
Bi (0.5000, 0.5000, 0.5000)  8 O 2.79
O (0.2500, 0.2500, 0.2500)  4 Bi 2.79, 4 I 2.79
O (0.7500, 0.7500, 0.7500)  4 Bi 2.79, 4 I 2.79

Summary:
Uncorrected energy ... -3.61 eV per atom
Offset from the most stable computed form ... 871 meV/atom
V ... 67.1 Å³/cell
D(E_F) ... 4.83 states/eV/cell
Symmetry ... Fm-3m
Size of the total moment ... 0.00 μB/cell

Record 2
Below is BiI3O after structural relaxation, with properties calculated at the PBE-GGA level.

Cell lengths 6.1438, 6.1438, 6.1438 Å; angles 90.00, 90.00, 90.00 degrees
Closest atoms and distances in Å follow each position.
Atoms (fractional coordinates):
I (0.5000, 0.0000, 0.0000)  2 Bi 3.07
I (0.0000, 0.5000, 0.0000)  2 Bi 3.07
I (0.0000, 0.0000, 0.5000)  2 Bi 3.07
Bi (0.0000, 0.0000, 0.0000)  6 I 3.07
O (0.5000, 0.5000, 0.5000)  12 I 4.34

Summary:
Uncorrected energy ... -2.27 eV per atom
Offset from the most stable computed form ... 35 meV/atom
V ... 231.9 Å³/cell
D(E_F) ... 29.76 states/eV/cell
Symmetry ... Pm-3m
Size of the total moment ... 2.00 μB/cell

Record 3
Below is BiI3O after structural relaxation, with properties calculated at the PBE-GGA level.

Cell lengths 5.1770, 5.1770, 5.1770 Å; angles 90.00, 90.00, 90.00 degrees
Closest atoms and distances in Å follow each position.
Atoms (fractional coordinates):
I (0.0000, 0.5000, 0.0000)  2 O 2.59
I (0.0000, 0.0000, 0.5000)  2 O 2.59
Bi (0.5000, 0.5000, 0.5000)  12 I 3.66
I (0.5000, 0.0000, 0.0000)  2 O 2.59
O (0.0000, 0.0000, 0.0000)  6 I 2.59

Summary:
Uncorrected energy ... -2.30 eV per atom
Offset from the most stable computed form ... 0 meV/atom
V ... 138.7 Å³/cell
D(E_F) ... 3.44 states/eV/cell
Symmetry ... Pm-3m
Size of the total moment ... 0.00 μB/cell

Record 4
Below is Bi3IO4 after structural relaxation, with properties calculated at the PBE-GGA level.

Cell lengths 5.8465, 5.9085, 20.0795 Å; angles 90.00, 90.00, 90.00 degrees
Closest atoms and distances in Å follow each position.
Atoms (fractional coordinates):
Bi (0.7931, 0.7990, 0.1340)  3 O 2.14-2.16
Bi (0.7069, 0.7990, 0.8660)  3 O 2.14-2.16
O (0.5062, 0.5454, 0.4160)  2 Bi 2.16
O (0.9281, 0.9312, 0.4385)  3 Bi 2.14-2.38
O (0.4938, 0.4546, 0.5840)  2 Bi 2.16
I (0.2349, 0.7500, 0.7500)  6 Bi 3.54-3.88, 2 O 3.82
I (0.2651, 0.7500, 0.2500)  6 Bi 3.54-3.88, 2 O 3.82
O (0.9281, 0.5688, 0.0615)  3 Bi 2.14-2.38
I (0.7349, 0.2500, 0.7500)  6 Bi 3.54-3.88, 2 O 3.82
O (0.5719, 0.5688, 0.9385)  3 Bi 2.14-2.38
O (0.0719, 0.4312, 0.9385)  3 Bi 2.14-2.38
O (0.5719, 0.9312, 0.5615)  3 Bi 2.14-2.38
Bi (0.2500, 0.6983, 0.0000)  4 O 2.26-2.38
I (0.7651, 0.2500, 0.2500)  6 Bi 3.54-3.88, 2 O 3.82
O (0.0719, 0.0688, 0.5615)  3 Bi 2.14-2.38
O (0.4281, 0.0688, 0.4385)  3 Bi 2.14-2.38
O (0.0062, 0.4546, 0.4160)  2 Bi 2.16
Bi (0.2931, 0.2990, 0.3660)  3 O 2.14-2.16
Bi (0.2069, 0.2010, 0.8660)  3 O 2.14-2.16
O (0.0062, 0.0454, 0.0840)  2 Bi 2.16
O (0.9938, 0.5454, 0.5840)  2 Bi 2.16
Bi (0.2069, 0.2990, 0.6340)  3 O 2.14-2.16
Bi (0.7500, 0.3017, 0.0000)  4 O 2.26-2.38
O (0.4281, 0.4312, 0.0615)  3 Bi 2.14-2.38
Bi (0.7069, 0.7010, 0.6340)  3 O 2.14-2.16
Bi (0.2500, 0.8017, 0.5000)  4 O 2.26-2.38
O (0.4938, 0.0454, 0.9160)  2 Bi 2.16
O (0.9938, 0.9546, 0.9160)  2 Bi 2.16
Bi (0.7931, 0.7010, 0.3660)  3 O 2.14-2.16
Bi (0.2931, 0.2010, 0.1340)  3 O 2.14-2.16
O (0.5062, 0.9546, 0.0840)  2 Bi 2.16
Bi (0.7500, 0.1983, 0.5000)  4 O 2.26-2.38

Summary:
Uncorrected energy ... -5.26 eV per atom
V ... 693.6 Å³/cell
D(E_F) ... 0.00 states/eV/cell
Symmetry ... Pnna
Size of the total moment ... 0.00 μB/cell

Record 5
Below is BiI2O2 after structural relaxation, with properties calculated at the PBE-GGA level.

Cell lengths 4.2597, 4.2597, 7.6178 Å; angles 90.00, 90.00, 90.00 degrees
Closest atoms and distances in Å follow each position.
Atoms (fractional coordinates):
Bi (0.5000, 0.5000, 0.5000)  4 I 3.01
I (0.0000, 0.0000, 0.5000)  4 Bi 3.01
O (0.5000, 0.0000, 0.0000)  2 I 2.13
O (0.0000, 0.5000, 0.0000)  2 I 2.13
I (0.0000, 0.0000, 0.0000)  4 O 2.13

Summary:
Uncorrected energy ... -3.11 eV per atom
Offset from the most stable computed form ... 407 meV/atom
V ... 138.2 Å³/cell
D(E_F) ... 2.99 states/eV/cell
Symmetry ... P4/mmm
Size of the total moment ... 0.47 μB/cell

Record 6
Below is BiI2O6 after structural relaxation, with properties calculated at the PBE-GGA level.

Cell lengths 6.6201, 7.3170, 7.3170 Å; angles 90.40, 91.54, 91.54 degrees
Closest atoms and distances in Å follow each position.
Atoms (fractional coordinates):
Bi (0.2500, 0.0318, 0.9682)  4 O 2.33-2.44
I (0.3092, 0.5355, 0.8016)  3 O 1.82-1.86
O (0.1922, 0.7171, 0.9392)  1 I 1.86
O (0.4256, 0.3093, 0.5474)  1 I 1.82
O (0.0744, 0.4526, 0.6907)  1 I 1.82
I (0.6908, 0.4645, 0.1984)  3 O 1.82-1.86
O (0.3078, 0.0608, 0.2829)  1 I 1.86
O (0.6922, 0.9392, 0.7171)  1 I 1.86
I (0.8092, 0.8016, 0.5355)  3 O 1.82-1.86
O (0.6602, 0.6429, 0.0211)  1 I 1.86
O (0.5744, 0.6907, 0.4526)  1 I 1.82
O (0.8398, 0.9789, 0.3571)  1 I 1.86
O (0.8078, 0.2829, 0.0608)  1 I 1.86
I (0.1908, 0.1984, 0.4645)  3 O 1.82-1.86
Bi (0.7500, 0.9682, 0.0318)  4 O 2.33-2.44
O (0.3398, 0.3571, 0.9789)  1 I 1.86
O (0.1602, 0.0211, 0.6429)  1 I 1.86
O (0.9256, 0.5474, 0.3093)  1 I 1.82

Summary:
Uncorrected energy ... -4.50 eV per atom
Offset from the most stable computed form ... 0 meV/atom
V ... 354.2 Å³/cell
D(E_F) ... 2.62 states/eV/cell
Symmetry ... C2/c
Size of the total moment ... 0.00 μB/cell

Record 7
Below is Bi6IO8 after structural relaxation, with properties calculated at the PBE-GGA level.

Cell lengths 6.9965, 6.9965, 8.9433 Å; angles 66.97, 66.97, 60.00 degrees
Closest atoms and distances in Å follow each position.
Atoms (fractional coordinates):
O (0.5949, 0.5949, 0.2154)  3 Bi 2.26
Bi (0.8768, 0.2732, 0.3146)  4 O 2.25-2.38
O (0.8355, 0.5737, 0.4044)  3 Bi 2.25-2.38
Bi (0.1232, 0.7268, 0.6854)  4 O 2.25-2.38
O (0.1645, 0.4263, 0.5956)  3 Bi 2.25-2.38
O (0.1864, 0.8355, 0.4044)  3 Bi 2.25-2.38
Bi (0.7268, 0.4646, 0.6854)  4 O 2.25-2.38
O (0.5737, 0.1864, 0.4044)  3 Bi 2.25-2.38
O (0.8136, 0.1645, 0.5956)  3 Bi 2.25-2.38
I (0.0000, 0.0000, 0.0000)  6 Bi 3.60, 6 O 3.88
Bi (0.4646, 0.1232, 0.6854)  4 O 2.25-2.38
O (0.4263, 0.8136, 0.5956)  3 Bi 2.25-2.38
Bi (0.5354, 0.8768, 0.3146)  4 O 2.25-2.38
Bi (0.2732, 0.5354, 0.3146)  4 O 2.25-2.38
O (0.4051, 0.4051, 0.7846)  3 Bi 2.26

Summary:
Uncorrected energy ... -5.37 eV per atom
V ... 338.3 Å³/cell
D(E_F) ... 5.15 states/eV/cell
Symmetry ... R-3
Size of the total moment ... 0.00 μB/cell

Record 8
Below is Bi2I2O after structural relaxation, with properties calculated at the PBE-GGA level.

Cell lengths 3.3672, 3.3672, 16.0954 Å; angles 90.00, 90.00, 90.00 degrees
Closest atoms and distances in Å follow each position.
Atoms (fractional coordinates):
Bi (0.5000, 0.5000, 0.8702)  1 O 2.09
O (0.5000, 0.5000, 0.0000)  2 Bi 2.09
I (0.5000, 0.5000, 0.6567)  4 I 3.37, 1 Bi 3.44
I (0.5000, 0.5000, 0.3433)  4 I 3.37, 1 Bi 3.44
Bi (0.5000, 0.5000, 0.1298)  1 O 2.09

Summary:
Uncorrected energy ... -3.34 eV per atom
V ... 182.5 Å³/cell
D(E_F) ... 2.42 states/eV/cell
Symmetry ... P4/mmm
Size of the total moment ... 0.00 μB/cell